Crystalline Li3Fe2Si2O8 at its relaxed geometry. Source: Alexandria, functional PBE+U.

Values from the calculation:
- distance to the lowest polymorph of the same formula (meV per atom) = 6
- space-group type = C2
- final energy (eV/cell) = -201.37
- spin magnetization (μB/f.u.) = 9.00

a b c (Å): 8.2880 8.2880 7.6131
angles (deg): 116.54 116.54 52.70
Closest atoms and distances in Å follow each position.
Sites, in units of the cell vectors:
Li: 0.0000 0.0000 0.0000  4 O 2.06-2.11
Li: 0.2076 0.5371 0.0621  3 O 1.89-2.03
Li: 0.4629 0.7924 0.9379  3 O 1.89-2.03
Li: 0.5257 0.4743 0.5000  4 O 1.99-2.14
Li: 0.7129 0.0448 0.5735  4 O 1.97-2.02
Li: 0.9552 0.2871 0.4265  4 O 1.97-2.02
Fe: 0.2029 0.5422 0.6850  4 O 1.87-1.94
Fe: 0.4578 0.7971 0.3150  4 O 1.87-1.94
Fe: 0.7100 0.0236 0.1930  4 O 1.96-2.08
Fe: 0.9764 0.2900 0.8070  4 O 1.96-2.08
Si: 0.1516 0.8484 0.5000  4 O 1.62-1.69
Si: 0.2643 0.2447 0.2598  4 O 1.62-1.69
Si: 0.6454 0.3546 0.0000  4 O 1.65
Si: 0.7553 0.7357 0.7402  4 O 1.62-1.69
O: 0.1320 0.3758 0.4354  1 Si 1.66
O: 0.1339 0.0749 0.5916  1 Si 1.62
O: 0.1498 0.3549 0.0754  1 Si 1.62
O: 0.2787 0.0103 0.1639  1 Si 1.69
O: 0.2946 0.7010 0.6705  1 Si 1.69
O: 0.2990 0.7054 0.3295  1 Si 1.69
O: 0.4073 0.3905 0.8851  1 Si 1.65
O: 0.4975 0.2215 0.3727  1 Si 1.65
O: 0.6095 0.5927 0.1149  1 Si 1.65
O: 0.6242 0.8680 0.5646  1 Si 1.66
O: 0.6451 0.8502 0.9246  1 Si 1.62
O: 0.7757 0.2101 0.1633  1 Si 1.65
O: 0.7785 0.5025 0.6273  1 Si 1.65
O: 0.7899 0.2243 0.8367  1 Si 1.65
O: 0.9251 0.8661 0.4084  1 Si 1.62
O: 0.9897 0.7213 0.8361  1 Si 1.69